[1]
The following is a DFT calculation (GGA-PBE) of a relaxed structure of RbH2I3.

As for the calculated total energy: -30.59 eV per cell. The mass density comes out at 3.18 g/cm3.

It has space group P-1 (No. 2), with a = 5.320 Å, b = 9.115 Å, c = 10.659 Å, α = 101.30°, β = 91.62° and γ = 104.59°. The asymmetric unit holds Rb at (0.151, 0.223, 0.305), H at (0.373, 0.720, 0.000), H at (0.395, 0.793, 0.317), I at (0.276, 0.583, 0.863), I at (0.289, 0.673, 0.440) and I at (0.492, 0.080, 0.811).


[2]
The following is a DFT calculation (GGA-PBE) of a relaxed structure of RbScNb2Ir.

As for the calculated total energy: -23.83 eV per cell. The mass density comes out at 7.92 g/cm3. The calculated formation energy comes out at 2.494 eV per atom.

It has space group P4/mmm (No. 123), with a = 4.740 Å, b = 4.740 Å, c = 4.743 Å, α = 90.00°, β = 90.00° and γ = 90.00°. The asymmetric unit holds Rb at (0.000, 0.000, 0.000), Sc at (0.000, 0.000, 0.500), Nb at (0.000, 0.500, 0.000) and Ir at (0.500, 0.500, 0.500).


[3]
The following is a DFT calculation (GGA-PBE) of a relaxed structure of MnSnIrPt.

As for the calculated total energy: -57.33 eV per cell. The mass density comes out at 13.54 g/cm3. The calculated formation energy comes out at -0.148 eV per atom.

It has space group Amm2 (No. 38), with a = 2.938 Å, b = 3.392 Å, c = 13.808 Å, α = 90.00°, β = 90.00° and γ = 90.00°. The asymmetric unit holds Mn at (0.000, 0.000, 0.000), Sn at (0.000, 0.000, 0.241), Ir at (0.500, 0.000, 0.405) and Pt at (0.500, 0.000, 0.616).


[4]
The following is a DFT calculation (GGA-PBE) of a relaxed structure of LaCeDy.

As for the calculated total energy: -30.51 eV per cell. The mass density comes out at 7.67 g/cm3. Its energy above the lowest structure with this stoichiometry is 0.03 eV/f.u. The calculated formation energy comes out at 0.070 eV per atom.

It has space group I4mm (No. 107), with a = 3.566 Å, b = 3.566 Å, c = 15.032 Å, α = 90.00°, β = 90.00° and γ = 90.00°. The asymmetric unit holds La at (0.000, 0.000, 0.000), Ce at (0.000, 0.000, 0.341) and Dy at (0.000, 0.000, 0.685).